(1)
DFT (PBE) results for CaPmGaS4 after structural relaxation.

The structure belongs to space group Imma (No. 74); the cell edges are 7.7816, 7.9616 and 11.1287 Å and the angles 90.00°, 90.00° and 90.00°. The distinct sites, in fractional coordinates, are Ca at (0.2500, 0.2500, 0.2500), Pm at (0.0000, 0.0000, 0.0000), Ga at (0.0000, 0.2500, 0.6322), S at (0.0000, 0.0069, 0.7479) and S at (0.2441, 0.2500, 0.5037).

As for the formation energy from raw total energies: -1.4863 eV per atom. The calculation puts the total magnetic moment at 0.00 μB/atom.

(2)
DFT (PBE) results for ZnInAs2Br after structural relaxation.

The structure belongs to space group P4/mmm (No. 123); the cell edges are 5.3557, 5.3557 and 5.5791 Å and the angles 90.00°, 90.00° and 90.00°. The distinct sites, in fractional coordinates, are Zn at (0.0000, 0.0000, 0.0000), In at (0.5000, 0.5000, 0.5000), As at (0.0000, 0.5000, 0.5000) and Br at (0.5000, 0.5000, 0.0000).

The energy above the lowest structure with this stoichiometry is 0.353 eV per atom. As for the formation energy from raw total energies: 0.6583 eV per atom. The calculation puts the total magnetic moment at 0.38 μB/atom.

(3)
DFT (PBE) results for BiS6Br2 after structural relaxation.

The structure belongs to space group P-1 (No. 2); the cell edges are 4.3665, 7.4832 and 9.5747 Å and the angles 112.35°, 90.37° and 90.17°. The distinct sites, in fractional coordinates, are Bi at (0.0000, 0.0000, 0.0000), S at (0.0903, 0.1273, 0.3588), S at (0.0992, 0.1488, 0.7142), S at (0.1078, 0.7345, 0.4278) and Br at (0.4955, 0.7181, 0.9149).

As for the formation energy from raw total energies: -0.0957 eV per atom. The calculation puts the total magnetic moment at 0.00 μB/atom.

(4)
DFT (PBE) results for BaTcS2 after structural relaxation.

The structure belongs to space group Amm2 (No. 38); the cell edges are 3.8141, 6.9777 and 15.4238 Å and the angles 90.00°, 90.00° and 90.00°. The distinct sites, in fractional coordinates, are Ba at (0.0000, 0.0000, 0.0000), Ba at (0.0000, 0.0000, 0.2812), Tc at (0.0000, 0.0000, 0.6716), Tc at (0.5000, 0.0000, 0.7721), S at (0.5000, 0.2272, 0.6445) and S at (0.5000, 0.2328, 0.8832).

The energy above the lowest structure with this stoichiometry is 0.105 eV per atom. As for the formation energy from raw total energies: -1.0124 eV per atom. The calculation puts the total magnetic moment at 0.00 μB/atom.